First-principles (GGA+U) data for a relaxed structure of Na2Tl2CoF6, as listed in the Alexandria database.

Properties
The final energy is -4.349 eV per atom.

POSCAR file:
```
Na2Tl2CoF6
1.0
5.8235 0.0611 0.0616
-2.8252 5.0927 0.0616
-1.0560 -1.8151 6.2536
Na F Tl Co
2 6 2 1
direct
0.3383 0.6617 0.5000
0.6617 0.3383 0.5000
0.9453 0.6413 0.3218
0.0547 0.3587 0.6782
0.6413 0.9453 0.3218
0.7708 0.7708 0.6887
0.2292 0.2292 0.3113
0.3587 0.0547 0.6782
0.1751 0.8249 0.0000
0.8249 0.1751 0.0000
0.0000 0.0000 0.5000
```